[1]
Material: BaAlCd
Method: DFT, PBE-GGA
State: relaxed

Values from the calculation:
DFT total energy: -1.797 eV per atom
M_tot: 0.000 μB/atom
DOS(E_F): 3.7 states/eV per cell

The structure in extended XYZ format:
```
3
Lattice="0.000 3.894 3.894 3.894 0.000 3.894 3.894 3.894 0.000" Properties=species:S:1:pos:R:3 pbc="T T T"
Ba 0.000 0.000 0.000
Al 1.947 1.947 1.947
Cd 5.841 5.841 5.841
```

---

[2]
Material: Zr3Br
Method: DFT, PBE-GGA
State: relaxed

Values from the calculation:
M_tot: 0.000 μB/atom
Energy relative to the lowest polymorph listed for this composition: 0.42 eV per formula unit
Formation energy (no corrections): -0.583 eV per formula unit
DOS(E_F): 5.0 states/eV per cell

The structure in extended XYZ format:
```
4
Lattice="1.957 -2.573 0.000 1.957 2.573 0.000 0.000 0.000 9.081" Properties=species:S:1:pos:R:3 pbc="T T T"
Zr 0.000 0.000 0.000
Zr 1.957 0.000 2.275
Zr 1.957 0.000 6.806
Br 0.000 0.000 4.541
```

---

[3]
Material: La2Dy5Y4
Method: DFT, PBE-GGA
State: relaxed

Values from the calculation:
M_tot: 0.000 μB/atom
Energy relative to the lowest polymorph listed for this composition: 0.00 eV per formula unit
DOS(E_F): 22.1 states/eV per cell

The structure in extended XYZ format:
```
11
Lattice="12.023 -1.727 0.000 12.023 1.727 0.000 -1.008 0.000 8.769" Properties=species:S:1:pos:R:3 pbc="T T T"
La 1.972 0.000 2.190
La 21.066 0.000 6.580
Dy 2.773 0.000 5.480
Dy 5.299 0.000 2.866
Dy 11.519 0.000 4.385
Dy 17.740 0.000 5.904
Dy 20.266 0.000 3.289
Y 0.244 0.000 7.555
Y 7.692 0.000 0.230
Y 15.346 0.000 8.540
Y 22.795 0.000 1.215
```